*1*
Density functional theory data (PBE) for a geometry-optimized LiScC structure.

Cell: 3.751 3.751 5.738 Å, 90.00 90.00 90.00°
Atoms (fractional coordinates):
1 Li 0.000 0.000 0.000
2 Li 0.000 0.000 0.500
3 Sc 0.500 0.500 0.149
4 Sc 0.500 0.500 0.649
5 C 0.000 0.500 0.370
6 C 0.500 0.000 0.870

## Properties
Calculated volume in Å³ per cell: 80.72

*2*
Density functional theory data (PBE) for a geometry-optimized LiScC structure.

Cell: 3.400 3.400 5.983 Å, 90.00 90.00 90.00°
Atoms (fractional coordinates):
1 Li 0.250 0.750 0.000
2 Li 0.750 0.250 0.000
3 Sc 0.250 0.250 0.348
4 Sc 0.750 0.750 0.652
5 C 0.250 0.250 0.734
6 C 0.750 0.750 0.266

## Properties
Calculated volume in Å³ per cell: 69.17

*3*
Density functional theory data (PBE) for a geometry-optimized LiScC structure.

Cell: 3.761 3.761 3.761 Å, 60.00 60.00 60.00°
Atoms (fractional coordinates):
1 Li 0.000 0.000 0.000
2 Sc 0.500 0.500 0.500
3 C 0.250 0.250 0.250

## Properties
Calculated volume in Å³ per cell: 37.62

*4*
Density functional theory data (PBE) for a geometry-optimized LiScC structure.

Cell: 4.000 4.000 4.926 Å, 90.00 90.00 120.00°
Atoms (fractional coordinates):
1 Li 0.000 0.000 0.000
2 Li 0.000 0.000 0.500
3 Sc 0.333 0.667 0.250
4 Sc 0.667 0.333 0.750
5 C 0.333 0.667 0.750
6 C 0.667 0.333 0.250

## Properties
Calculated volume in Å³ per cell: 68.26

Q: Which of them is the least stable? A: *1*.

*1*
Density functional theory data (PBE) for a geometry-optimized LiScC structure.

Cell: 3.365 3.365 9.484 Å, 90.00 90.00 120.00°
Atoms (fractional coordinates):
1 Li 0.000 0.000 0.000
2 Li 0.000 0.000 0.500
3 Sc 0.667 0.333 0.220
4 Sc 0.667 0.333 0.780
5 C 0.333 0.667 0.072
6 C 0.333 0.667 0.928

## Properties
Calculated volume in Å³ per cell: 93.03

*2*
Density functional theory data (PBE) for a geometry-optimized LiScC structure.

Cell: 4.376 4.376 4.799 Å, 90.00 90.00 90.00°
Atoms (fractional coordinates):
1 Li 0.250 0.250 0.050
2 Li 0.750 0.750 0.950
3 Sc 0.250 0.750 0.500
4 Sc 0.750 0.250 0.500
5 C 0.250 0.250 0.633
6 C 0.750 0.750 0.367

## Properties
Calculated volume in Å³ per cell: 91.90

*3*
Density functional theory data (PBE) for a geometry-optimized LiScC structure.

Cell: 6.827 6.827 6.827 Å, 30.78 30.78 30.78°
Atoms (fractional coordinates):
1 Li 0.000 0.000 0.000
2 Li 0.173 0.173 0.173
3 Sc 0.421 0.421 0.421
4 Sc 0.588 0.588 0.588
5 C 0.301 0.301 0.301
6 C 0.805 0.805 0.805

## Properties
Calculated volume in Å³ per cell: 73.87

Q: Which of them is the least stable? A: *1*.

*1*
Density functional theory data (PBE) for a geometry-optimized LiScC structure.

Cell: 3.558 3.558 6.371 Å, 90.00 90.00 120.00°
Atoms (fractional coordinates):
1 Li 0.333 0.667 0.000
2 Li 0.667 0.333 0.500
3 Sc 0.000 0.000 0.257
4 Sc 0.000 0.000 0.757
5 C 0.333 0.667 0.589
6 C 0.667 0.333 0.089

## Properties
Calculated volume in Å³ per cell: 69.83

*2*
Density functional theory data (PBE) for a geometry-optimized LiScC structure.

Cell: 5.518 5.518 5.935 Å, 120.45 120.45 34.58°
Atoms (fractional coordinates):
1 Li 0.000 0.000 0.000
2 Li 0.513 0.513 0.689
3 Sc 0.325 0.325 0.130
4 Sc 0.702 0.702 0.477
5 C 0.017 0.017 0.404
6 C 0.899 0.899 0.448

## Properties
Calculated volume in Å³ per cell: 86.92

*3*
Density functional theory data (PBE) for a geometry-optimized LiScC structure.

Cell: 5.853 3.425 6.886 Å, 90.00 90.00 90.00°
Atoms (fractional coordinates):
1 Li 0.135 0.250 0.053
2 Li 0.365 0.750 0.553
3 Li 0.635 0.250 0.447
4 Li 0.865 0.750 0.947
5 Sc 0.039 0.250 0.679
6 Sc 0.461 0.750 0.179
7 Sc 0.539 0.250 0.821
8 Sc 0.961 0.750 0.321
9 C 0.230 0.250 0.381
10 C 0.270 0.750 0.881
11 C 0.730 0.250 0.119
12 C 0.770 0.750 0.619

## Properties
Calculated volume in Å³ per cell: 138.05

*4*
Density functional theory data (PBE) for a geometry-optimized LiScC structure.

Cell: 6.872 6.872 6.872 Å, 31.54 31.54 31.54°
Atoms (fractional coordinates):
1 Li 0.154 0.154 0.154
2 Li 0.846 0.846 0.846
3 Sc 0.389 0.389 0.389
4 Sc 0.611 0.611 0.611
5 C 0.000 0.000 0.000
6 C 0.500 0.500 0.500

## Properties
Calculated volume in Å³ per cell: 78.83

Q: Which of them is the least stable? A: *2*.

*1*
Density functional theory data (PBE) for a geometry-optimized LiScC structure.

Cell: 6.539 6.539 6.539 Å, 34.43 34.43 34.43°
Atoms (fractional coordinates):
1 Li 0.140 0.140 0.140
2 Li 0.860 0.860 0.860
3 Sc 0.387 0.387 0.387
4 Sc 0.613 0.613 0.613
5 C 0.257 0.257 0.257
6 C 0.743 0.743 0.743

## Properties
Calculated volume in Å³ per cell: 79.70

*2*
Density functional theory data (PBE) for a geometry-optimized LiScC structure.

Cell: 5.913 5.913 3.980 Å, 99.53 99.53 34.75°
Atoms (fractional coordinates):
1 Li 0.000 0.000 0.000
2 Li 0.198 0.198 0.113
3 Sc 0.488 0.488 0.482
4 Sc 0.768 0.768 0.684
5 C 0.112 0.112 0.559
6 C 0.381 0.381 0.923

## Properties
Calculated volume in Å³ per cell: 78.12

*3*
Density functional theory data (PBE) for a geometry-optimized LiScC structure.

Cell: 3.797 3.797 3.797 Å, 60.00 60.00 60.00°
Atoms (fractional coordinates):
1 Li 0.000 0.000 0.000
2 Sc 0.250 0.250 0.250
3 C 0.500 0.500 0.500

## Properties
Calculated volume in Å³ per cell: 38.72

Q: Which of them is the least stable? A: *3*.

*1*
Density functional theory data (PBE) for a geometry-optimized LiScC structure.

Cell: 5.512 5.512 7.876 Å, 90.00 90.00 120.00°
Atoms (fractional coordinates):
1 Li 0.333 0.667 0.250
2 Li 0.667 0.333 0.750
3 Sc 0.000 0.000 0.250
4 Sc 0.000 0.000 0.750
5 C 0.000 0.000 0.000
6 C 0.000 0.000 0.500

## Properties
Calculated volume in Å³ per cell: 207.26

*2*
Density functional theory data (PBE) for a geometry-optimized LiScC structure.

Cell: 7.754 3.759 5.399 Å, 90.00 90.00 90.00°
Atoms (fractional coordinates):
1 Li 0.081 0.250 0.041
2 Li 0.419 0.750 0.541
3 Li 0.581 0.250 0.459
4 Li 0.919 0.750 0.959
5 Sc 0.151 0.250 0.525
6 Sc 0.349 0.750 0.025
7 Sc 0.651 0.250 0.975
8 Sc 0.849 0.750 0.475
9 C 0.120 0.750 0.287
10 C 0.380 0.250 0.787
11 C 0.620 0.750 0.213
12 C 0.880 0.250 0.713

## Properties
Calculated volume in Å³ per cell: 157.36

Q: Which of them is the least stable? A: *1*.

*1*
Density functional theory data (PBE) for a geometry-optimized Li2ScC2 structure.

Cell: 5.109 5.109 5.109 Å, 142.45 142.45 54.15°
Atoms (fractional coordinates):
1 Li 0.250 0.750 0.500
2 Li 0.750 0.250 0.500
3 Sc 0.000 0.000 0.000
4 C 0.419 0.419 0.000
5 C 0.581 0.581 0.000

## Properties
Calculated volume in Å³ per cell: 49.18

*2*
Density functional theory data (PBE) for a geometry-optimized Li2ScC2 structure.

Cell: 5.587 5.587 3.825 Å, 90.00 90.00 90.00°
Atoms (fractional coordinates):
1 Li 0.153 0.347 0.000
2 Li 0.347 0.847 0.000
3 Li 0.653 0.153 0.000
4 Li 0.847 0.653 0.000
5 Sc 0.000 0.000 0.500
6 Sc 0.500 0.500 0.500
7 C 0.086 0.586 0.500
8 C 0.414 0.086 0.500
9 C 0.586 0.914 0.500
10 C 0.914 0.414 0.500

## Properties
Calculated volume in Å³ per cell: 119.36

Q: Which of them is the least stable? A: *2*.

*1*
Density functional theory data (PBE) for a geometry-optimized LiCSe structure.

Cell: 4.372 4.372 7.424 Å, 96.57 96.57 55.25°
Atoms (fractional coordinates):
1 Li 0.000 0.000 0.000
2 Li 0.166 0.166 0.469
3 C 0.572 0.572 0.842
4 C 0.647 0.647 0.001
5 Se 0.497 0.497 0.597
6 Se 0.767 0.767 0.232

## Properties
Calculated volume in Å³ per cell: 115.64

*2*
Density functional theory data (PBE) for a geometry-optimized LiCSe structure.

Cell: 4.494 4.513 7.322 Å, 96.57 92.00 119.31°
Atoms (fractional coordinates):
1 Li 0.129 0.294 0.257
2 Li 0.871 0.706 0.743
3 C 0.065 0.119 0.566
4 C 0.935 0.881 0.434
5 Se 0.225 0.402 0.792
6 Se 0.775 0.598 0.208

## Properties
Calculated volume in Å³ per cell: 127.94

*3*
Density functional theory data (PBE) for a geometry-optimized LiCSe structure.

Cell: 2.935 3.380 4.657 Å, 90.00 90.00 90.00°
Atoms (fractional coordinates):
1 Li 0.000 0.000 0.000
2 C 0.500 0.500 0.188
3 Se 0.000 0.500 0.456

## Properties
Calculated volume in Å³ per cell: 46.20

Q: Which of them is the least stable? A: *3*.

*1*
Density functional theory data (PBE) for a geometry-optimized Li3CSe structure.

Cell: 4.777 4.777 4.777 Å, 90.00 90.00 90.00°
Atoms (fractional coordinates):
1 Li 0.000 0.000 0.500
2 Li 0.000 0.500 0.000
3 Li 0.500 0.000 0.000
4 C 0.500 0.500 0.500
5 Se 0.000 0.000 0.000

## Properties
Calculated volume in Å³ per cell: 109.04

*2*
Density functional theory data (PBE) for a geometry-optimized Li3CSe structure.

Cell: 4.085 4.085 4.085 Å, 90.00 90.00 90.00°
Atoms (fractional coordinates):
1 Li 0.000 0.000 0.500
2 Li 0.000 0.500 0.000
3 Li 0.500 0.000 0.000
4 C 0.000 0.000 0.000
5 Se 0.500 0.500 0.500

## Properties
Calculated volume in Å³ per cell: 68.18

Q: Which of them is the least stable? A: *1*.

*1*
Density functional theory data (PBE) for a geometry-optimized LiC3Se structure.

Cell: 3.812 3.812 3.812 Å, 90.00 90.00 90.00°
Atoms (fractional coordinates):
1 Li 0.000 0.000 0.000
2 C 0.000 0.000 0.500
3 C 0.000 0.500 0.000
4 C 0.500 0.000 0.000
5 Se 0.500 0.500 0.500

## Properties
Calculated volume in Å³ per cell: 55.39

*2*
Density functional theory data (PBE) for a geometry-optimized LiC3Se structure.

Cell: 3.946 3.946 3.946 Å, 90.00 90.00 90.00°
Atoms (fractional coordinates):
1 Li 0.000 0.000 0.000
2 C 0.000 0.500 0.500
3 C 0.500 0.000 0.500
4 C 0.500 0.500 0.000
5 Se 0.500 0.500 0.500

## Properties
Calculated volume in Å³ per cell: 61.43

Q: Which of them is the least stable? A: *1*.

*1*
Density functional theory data (PBE) for a geometry-optimized Li2CSe structure.

Cell: 4.167 4.167 4.167 Å, 60.00 60.00 60.00°
Atoms (fractional coordinates):
1 Li 0.250 0.250 0.250
2 Li 0.750 0.750 0.750
3 C 0.000 0.000 0.000
4 Se 0.500 0.500 0.500

## Properties
Calculated volume in Å³ per cell: 51.15

*2*
Density functional theory data (PBE) for a geometry-optimized Li2CSe structure.

Cell: 8.141 8.141 8.141 Å, 153.79 153.79 37.40°
Atoms (fractional coordinates):
1 Li 0.072 0.625 0.947
2 Li 0.375 0.322 0.447
3 Li 0.678 0.125 0.053
4 Li 0.875 0.928 0.553
5 C 0.000 0.000 0.000
6 C 0.750 0.250 0.500
7 Se 0.250 0.750 0.500
8 Se 0.500 0.500 0.000

## Properties
Calculated volume in Å³ per cell: 105.08

Q: Which of them is the least stable? A: *1*.